Entry 1:
VASP calculation (PBE) on a relaxed TlZnSeBr crystal.

Geometry as POSCAR:
```
TlZnSeBr
1.0
4.139 0.000 0.000
2.070 3.584 0.000
0.000 0.001 7.931
Zn Tl Se Br
1 1 1 1
Direct
0.355 0.316 0.025 Zn
0.688 0.650 0.440 Tl
0.021 0.983 0.125 Se
0.355 0.316 0.707 Br
```

Values from the calculation:
**ΔE_f (raw)**: -15.6 kcal/mol of atoms

---

Entry 2:
VASP calculation (PBE) on a relaxed Tm2SeBr3 crystal.

Geometry as POSCAR:
```
Tm2SeBr3
1.0
4.045 0.000 0.000
2.022 8.812 -0.425
2.022 1.782 10.099
Tm Br Se
4 6 2
Direct
0.604 0.232 0.560 Tm
0.396 0.768 0.440 Tm
0.873 0.424 0.830 Tm
0.127 0.576 0.170 Tm
0.946 0.868 0.239 Br
0.238 0.129 0.394 Br
0.762 0.871 0.606 Br
0.671 0.686 0.972 Br
0.329 0.314 0.028 Br
0.054 0.132 0.761 Br
0.407 0.521 0.664 Se
0.593 0.479 0.336 Se
```

Values from the calculation:
**ΔE_f (raw)**: -38.0 kcal/mol of atoms

---

Entry 3:
VASP calculation (PBE) on a relaxed Tm2Se2Br crystal.

Geometry as POSCAR:
```
Tm2Se2Br
1.0
-1.783 3.327 1.474
-3.160 -3.155 3.300
6.704 0.246 1.983
Br Tm Se
1 2 2
Direct
0.000 0.000 0.000 Br
0.680 0.180 0.361 Tm
0.320 0.820 0.639 Tm
0.337 0.337 0.674 Se
0.663 0.663 0.326 Se
```

Values from the calculation:
**ΔE_f (raw)**: -39.0 kcal/mol of atoms

---

Entry 4:
VASP calculation (PBE) on a relaxed Tm3SeBr7 crystal.

Geometry as POSCAR:
```
Tm3SeBr7
1.0
-0.316 -6.849 1.288
4.876 -1.429 -6.401
3.233 1.243 7.402
Br Se Tm
7 1 3
Direct
0.565 0.826 0.174 Br
0.565 0.826 0.653 Br
0.565 0.347 0.174 Br
0.008 0.173 0.346 Br
0.008 0.173 0.827 Br
0.008 0.654 0.827 Br
0.011 0.667 0.333 Br
0.557 0.333 0.667 Se
0.776 0.012 0.506 Tm
0.776 0.494 0.506 Tm
0.776 0.494 0.988 Tm
```

Values from the calculation:
**ΔE_f (raw)**: -42.6 kcal/mol of atoms

---

Entry 5:
VASP calculation (PBE) on a relaxed USeBr3 crystal.

Geometry as POSCAR:
```
USeBr3
1.0
7.625 0.000 0.832
3.812 7.374 0.416
-0.299 0.000 14.353
Br U Se
12 4 4
Direct
0.988 0.782 0.533 Br
0.266 0.917 0.703 Br
0.745 0.758 0.075 Br
0.734 0.083 0.297 Br
0.818 0.917 0.797 Br
0.182 0.083 0.203 Br
0.255 0.242 0.925 Br
0.770 0.218 0.033 Br
0.503 0.242 0.575 Br
0.012 0.218 0.467 Br
0.230 0.782 0.967 Br
0.497 0.758 0.425 Br
0.863 0.113 0.637 U
0.137 0.887 0.363 U
0.024 0.113 0.863 U
0.976 0.887 0.137 U
0.666 0.384 0.787 Se
0.950 0.384 0.713 Se
0.050 0.616 0.287 Se
0.334 0.616 0.213 Se
```

Values from the calculation:
**ΔE_f (raw)**: -25.9 kcal/mol of atoms

---

Entry 6:
VASP calculation (PBE) on a relaxed USe2Br4 crystal.

Geometry as POSCAR:
```
USe2Br4
1.0
3.927 0.000 -1.109
-0.380 7.130 -1.345
0.795 0.217 10.320
Br U Se
4 1 2
Direct
0.885 0.133 0.770 Br
0.551 0.262 0.101 Br
0.115 0.867 0.230 Br
0.449 0.738 0.899 Br
0.000 0.000 0.000 U
0.247 0.411 0.494 Se
0.753 0.589 0.506 Se
```

Values from the calculation:
**ΔE_f (raw)**: -19.2 kcal/mol of atoms

---

Entry 7:
VASP calculation (PBE) on a relaxed USe2Br crystal.

Geometry as POSCAR:
```
USe2Br
1.0
4.412 0.000 0.000
2.206 3.821 0.000
2.206 1.274 6.936
Se U Br
2 1 1
Direct
0.724 0.724 0.828 Se
0.276 0.276 0.172 Se
0.000 0.000 0.000 U
0.500 0.500 0.500 Br
```

Values from the calculation:
**Energy relative to the lowest polymorph listed for this composition**: 351 meV per atom
**ΔE_f (raw)**: -16.0 kcal/mol of atoms

---

Entry 8:
VASP calculation (PBE) on a relaxed U2Se4Br crystal.

Geometry as POSCAR:
```
U2Se4Br
1.0
-6.737 5.591 1.458
-4.829 0.017 -7.460
2.752 -6.477 5.428
Se U Br
8 4 2
Direct
0.379 0.625 0.244 Se
0.336 0.666 0.852 Se
0.813 0.667 0.331 Se
0.483 0.214 0.732 Se
0.871 0.615 0.746 Se
0.767 0.999 0.231 Se
0.914 0.267 0.830 Se
0.437 0.268 0.354 Se
0.125 0.337 0.712 U
0.575 0.949 0.373 U
0.625 0.335 0.210 U
0.675 0.548 0.874 U
0.987 0.243 0.255 Br
0.263 0.018 0.756 Br
```

Values from the calculation:
**ΔE_f (raw)**: -24.4 kcal/mol of atoms

---

Entry 9:
VASP calculation (PBE) on a relaxed USe2Br crystal.

Geometry as POSCAR:
```
USe2Br
1.0
4.581 0.000 0.000
2.291 3.968 0.000
2.291 1.323 7.395
U Br Se
1 1 2
Direct
0.650 0.650 0.051 U
0.526 0.526 0.422 Br
0.283 0.283 0.152 Se
0.042 0.042 0.874 Se
```

Values from the calculation:
**Energy relative to the lowest polymorph listed for this composition**: 134 meV per atom
**ΔE_f (raw)**: -21.0 kcal/mol of atoms

---

Entry 10:
VASP calculation (PBE) on a relaxed U3Se5Br crystal.

Geometry as POSCAR:
```
U3Se5Br
1.0
7.965 0.140 0.118
2.315 7.622 0.118
3.189 2.408 9.652
Br U Se
2 6 10
Direct
0.886 0.886 0.306 Br
0.114 0.114 0.694 Br
0.647 0.647 0.321 U
0.000 0.000 0.500 U
0.353 0.353 0.679 U
0.000 0.000 0.000 U
0.668 0.668 0.833 U
0.332 0.332 0.167 U
0.965 0.358 0.328 Se
0.696 0.304 0.000 Se
0.035 0.642 0.672 Se
0.358 0.965 0.328 Se
0.414 0.414 0.385 Se
0.304 0.696 0.000 Se
0.642 0.035 0.672 Se
0.586 0.586 0.615 Se
0.228 0.228 0.972 Se
0.772 0.772 0.028 Se
```

Values from the calculation:
**ΔE_f (raw)**: -23.6 kcal/mol of atoms

---

Entry 11:
VASP calculation (PBE) on a relaxed U2SeBr6 crystal.

Geometry as POSCAR:
```
U2SeBr6
1.0
0.087 -3.552 0.422
-0.308 -2.752 -7.931
11.266 -1.399 1.057
Br U Se
6 2 1
Direct
0.258 0.627 0.857 Br
0.692 0.215 0.401 Br
0.308 0.785 0.599 Br
0.046 0.161 0.747 Br
0.742 0.373 0.143 Br
0.954 0.839 0.253 Br
0.346 0.108 0.201 U
0.654 0.892 0.799 U
0.000 0.000 0.000 Se
```

Values from the calculation:
**ΔE_f (raw)**: -25.7 kcal/mol of atoms

---

Entry 12:
VASP calculation (PBE) on a relaxed USe2Br5 crystal.

Geometry as POSCAR:
```
USe2Br5
1.0
5.051 -0.008 2.599
2.830 7.931 0.603
-1.296 -0.732 8.730
U Se Br
1 2 5
Direct
0.965 0.000 0.000 U
0.149 0.425 0.518 Se
0.783 0.575 0.482 Se
0.761 0.338 0.075 Br
0.169 0.662 0.925 Br
0.816 0.982 0.314 Br
0.465 0.000 0.000 Br
0.114 0.018 0.686 Br
```

Values from the calculation:
**ΔE_f (raw)**: -17.5 kcal/mol of atoms